## Li2ErMg2In2 (GGA-PBE)

Data for an optimized crystal structure of Li2ErMg2In2.

Calculated values
VASP energy: -18.402 eV per cell
ΔH_f (0 K): -0.192 eV/atom
Magnetization: 0.00 Bohr magnetons per cell

Lattice parameters (Å, degrees): 4.938 4.938 7.703 103.18 103.18 57.62
Element x y z (fractional)
Li 0.216 0.216 0.192
Li 0.784 0.784 0.808
Er 0.500 0.500 0.000
Mg 0.369 0.369 0.583
Mg 0.631 0.631 0.417
In 0.104 0.104 0.766
In 0.896 0.896 0.234